ThIn4Pt2 | PBE-GGA | relaxed

Values from the calculation:
Final energy = -138.3 eV/cell
Spin magnetization = 0.00 μB per formula unit
Theoretical density = 11491 kg/m³

a b c (Å): 4.5175 7.5021 18.4457
angles (deg): 90.00 90.00 90.00
With the nearest neighbours (Å) after each atom.
Atoms (fractional coordinates):
Pt 0.2500 0.7595 0.5432  7 In 2.75-3.02
Pt 0.7500 0.2405 0.4568  7 In 2.75-3.02
Pt 0.7500 0.2595 0.9568  7 In 2.75-3.02
Pt 0.2500 0.7405 0.0432  7 In 2.75-3.02
Pt 0.2500 0.9479 0.7766  7 In 2.77-2.88
Pt 0.7500 0.0521 0.2234  7 In 2.77-2.88
Pt 0.7500 0.4479 0.7234  7 In 2.77-2.88
Pt 0.2500 0.5521 0.2766  7 In 2.77-2.88
Th 0.7500 0.9552 0.6409  4 Pt 3.24-3.37, 9 In 3.29-3.52
Th 0.2500 0.0448 0.3591  4 Pt 3.24-3.37, 9 In 3.29-3.52
Th 0.2500 0.4552 0.8591  4 Pt 3.24-3.37, 9 In 3.29-3.52
Th 0.7500 0.5448 0.1409  4 Pt 3.24-3.37, 9 In 3.29-3.52
In 0.2500 0.2507 0.6904  3 Pt 2.77, 2 In 2.97-3.00
In 0.7500 0.7493 0.3096  3 Pt 2.77, 2 In 2.97-3.00
In 0.7500 0.7507 0.8096  3 Pt 2.77, 2 In 2.97-3.00
In 0.2500 0.2493 0.1904  3 Pt 2.77, 2 In 2.97-3.00
In 0.2500 0.6502 0.6855  4 Pt 2.75-2.81, 1 In 3.00
In 0.7500 0.3498 0.3145  4 Pt 2.75-2.81, 1 In 3.00
In 0.7500 0.1502 0.8145  4 Pt 2.75-2.81, 1 In 3.00
In 0.2500 0.8498 0.1855  4 Pt 2.75-2.81, 1 In 3.00
In 0.2500 0.1467 0.5352  3 Pt 2.77-2.91, 1 In 2.97
In 0.7500 0.8533 0.4648  3 Pt 2.77-2.91, 1 In 2.97
In 0.7500 0.6467 0.9648  3 Pt 2.77-2.91, 1 In 2.97
In 0.2500 0.3533 0.0352  3 Pt 2.77-2.91, 1 In 2.97
In 0.2500 0.4996 0.4313  4 Pt 2.84-3.02
In 0.7500 0.5004 0.5687  4 Pt 2.84-3.02
In 0.7500 0.9996 0.0687  4 Pt 2.84-3.02
In 0.2500 0.0004 0.9313  4 Pt 2.84-3.02